(1)
# Li3B8C8

Crystalline Li3B8C8 at its relaxed geometry (GGA-PBE, Alexandria).

Lattice parameters (Å, degrees): 4.723 5.342 7.782 100.19 107.01 90.01
Sites, in units of the cell vectors:
Li  0.000  0.000  0.000
Li  0.255  0.645  0.500
Li  0.745  0.355  0.500
B  0.031  0.687  0.739
B  0.037  0.187  0.746
B  0.463  0.059  0.248
B  0.464  0.562  0.250
B  0.536  0.438  0.750
B  0.537  0.941  0.752
B  0.963  0.813  0.254
B  0.969  0.313  0.261
C  0.201  0.436  0.736
C  0.207  0.938  0.747
C  0.288  0.810  0.247
C  0.296  0.313  0.257
C  0.704  0.687  0.743
C  0.712  0.190  0.753
C  0.793  0.062  0.253
C  0.799  0.564  0.264

Density of states at the Fermi level = 0.249 states/eV/atom
Total magnetic moment = 0.0 μB per formula unit
DFT formation energy = 9 kJ per mole of atoms

***

(2)
# TeP2SeS

Crystalline TeP2SeS at its relaxed geometry (GGA-PBE, Alexandria).

Lattice parameters (Å, degrees): 4.870 4.870 4.671 90.00 90.00 90.00
Sites, in units of the cell vectors:
Te  0.000  0.000  0.000
P  0.000  0.500  0.500
P  0.500  0.000  0.500
Se  0.500  0.500  0.500
S  0.500  0.500  0.000

Density of states at the Fermi level = 0.812 states/eV/atom
Total magnetic moment = 0.0 μB per formula unit
Formation energy without anion corrections = 445 kJ/mol of formula units

***

(3)
# InSn2Ge

Crystalline InSn2Ge at its relaxed geometry (GGA-PBE, Alexandria).

Lattice parameters (Å, degrees): 7.409 7.409 7.409 90.00 90.00 90.00
Sites, in units of the cell vectors:
In  0.000  0.000  0.000
In  0.000  0.500  0.500
In  0.500  0.000  0.500
In  0.500  0.500  0.000
Sn  0.250  0.250  0.250
Sn  0.250  0.250  0.750
Sn  0.250  0.750  0.250
Sn  0.250  0.750  0.750
Sn  0.750  0.250  0.250
Sn  0.750  0.250  0.750
Sn  0.750  0.750  0.250
Sn  0.750  0.750  0.750
Ge  0.000  0.000  0.500
Ge  0.000  0.500  0.000
Ge  0.500  0.000  0.000
Ge  0.500  0.500  0.500

Density of states at the Fermi level = 0.532 states/eV/atom
Total magnetic moment = 0.0 μB per formula unit
DFT formation energy = 16 kJ per mole of atoms

***

(4)
# TbSm2YS6

Crystalline TbSm2YS6 at its relaxed geometry (GGA-PBE, Alexandria).

Lattice parameters (Å, degrees): 7.420 7.420 7.420 56.45 56.45 56.45
Sites, in units of the cell vectors:
Tb  0.000  0.000  0.000
Sm  0.296  0.296  0.296
Sm  0.796  0.796  0.796
Y  0.500  0.500  0.500
S  0.108  0.390  0.704
S  0.205  0.889  0.607
S  0.390  0.704  0.108
S  0.607  0.205  0.889
S  0.704  0.108  0.390
S  0.889  0.607  0.205

Density of states at the Fermi level = 0.000 states/eV/atom
Total magnetic moment = 0.0 μB per formula unit
Formation energy without anion corrections = -1974 kJ/mol of formula units

***

(5)
# La5P4Se

Crystalline La5P4Se at its relaxed geometry (GGA-PBE, Alexandria).

Lattice parameters (Å, degrees): 11.352 11.352 11.352 158.28 149.07 38.12
Sites, in units of the cell vectors:
La  0.000  0.000  0.000
La  0.200  0.200  0.000
La  0.394  0.394  0.000
La  0.606  0.606  0.000
La  0.800  0.800  0.000
P  0.099  0.599  0.500
P  0.300  0.800  0.500
P  0.700  0.200  0.500
P  0.901  0.401  0.500
Se  0.500  0.000  0.500

Density of states at the Fermi level = 0.291 states/eV/atom
Total magnetic moment = 0.0 μB per formula unit
Formation energy without anion corrections = -1649 kJ/mol of formula units

***

(6)
# FeNi2Pd5

Crystalline FeNi2Pd5 at its relaxed geometry (GGA-PBE, Alexandria).

Lattice parameters (Å, degrees): 5.412 10.822 3.844 90.00 90.00 90.00
Sites, in units of the cell vectors:
Fe  0.000  0.000  0.000
Fe  0.500  0.500  0.000
Ni  0.239  0.375  0.500
Ni  0.261  0.875  0.500
Ni  0.739  0.125  0.500
Ni  0.761  0.625  0.500
Pd  0.000  0.500  0.000
Pd  0.023  0.757  0.000
Pd  0.230  0.118  0.500
Pd  0.270  0.618  0.500
Pd  0.477  0.257  0.000
Pd  0.500  0.000  0.000
Pd  0.523  0.743  0.000
Pd  0.730  0.382  0.500
Pd  0.770  0.882  0.500
Pd  0.977  0.243  0.000

Density of states at the Fermi level = 1.071 states/eV/atom
Total magnetic moment = 6.3 μB per formula unit
DFT formation energy = -3 kJ per mole of atoms

***

(7)
# CsSmSi2O6

Crystalline CsSmSi2O6 at its relaxed geometry (GGA-PBE, Alexandria).

Lattice parameters (Å, degrees): 7.399 7.399 5.578 97.57 97.57 88.13
Sites, in units of the cell vectors:
Cs  0.179  0.821  0.750
Cs  0.821  0.179  0.250
Sm  0.379  0.621  0.250
Sm  0.621  0.379  0.750
Si  0.147  0.304  0.807
Si  0.304  0.147  0.307
Si  0.696  0.853  0.693
Si  0.853  0.696  0.193
O  0.064  0.628  0.235
O  0.171  0.182  0.046
O  0.182  0.171  0.546
O  0.318  0.446  0.866
O  0.372  0.936  0.265
O  0.446  0.318  0.366
O  0.554  0.682  0.634
O  0.628  0.064  0.735
O  0.682  0.554  0.134
O  0.818  0.829  0.454
O  0.829  0.818  0.954
O  0.936  0.372  0.765

Density of states at the Fermi level = 0.000 states/eV/atom
Total magnetic moment = 0.0 μB per formula unit
Formation energy without anion corrections = -2708 kJ/mol of formula units

***

(8)
# K2TmRhO4

Crystalline K2TmRhO4 at its relaxed geometry (GGA-PBE, Alexandria).

Lattice parameters (Å, degrees): 5.558 3.347 6.467 90.00 107.96 90.00
Sites, in units of the cell vectors:
K  0.000  0.000  0.000
K  0.500  0.500  0.000
Tm  0.000  0.500  0.500
Rh  0.500  0.000  0.500
O  0.236  0.000  0.689
O  0.290  0.500  0.321
O  0.710  0.500  0.679
O  0.764  0.000  0.311

Total magnetic moment = 0.0 μB per formula unit
Formation energy without anion corrections = -1456 kJ/mol of formula units

***

(9)
# Cd2NiCl

Crystalline Cd2NiCl at its relaxed geometry (GGA-PBE, Alexandria).

Lattice parameters (Å, degrees): 3.239 6.488 8.674 90.00 90.00 90.00
Sites, in units of the cell vectors:
Cd  0.000  0.000  0.236
Cd  0.000  0.000  0.764
Cd  0.500  0.500  0.264
Cd  0.500  0.500  0.736
Ni  0.000  0.500  0.500
Ni  0.500  0.000  0.000
Cl  0.000  0.500  0.000
Cl  0.500  0.000  0.500

Density of states at the Fermi level = 1.283 states/eV/atom
Total magnetic moment = 0.3 μB per formula unit
Formation energy without anion corrections = 47 kJ/mol of formula units

***

(10)
# Pm5PrNd2

Crystalline Pm5PrNd2 at its relaxed geometry (GGA-PBE, Alexandria).

Lattice parameters (Å, degrees): 7.333 14.669 5.181 90.00 90.00 90.00
Sites, in units of the cell vectors:
Pm  0.000  0.000  0.000
Pm  0.001  0.249  0.000
Pm  0.249  0.875  0.500
Pm  0.251  0.375  0.500
Pm  0.499  0.749  0.000
Pm  0.500  0.500  0.000
Pm  0.501  0.251  0.000
Pm  0.749  0.625  0.500
Pm  0.751  0.125  0.500
Pm  0.999  0.751  0.000
Pr  0.000  0.500  0.000
Pr  0.500  0.000  0.000
Nd  0.250  0.125  0.500
Nd  0.250  0.625  0.500
Nd  0.750  0.375  0.500
Nd  0.750  0.875  0.500

Density of states at the Fermi level = 1.626 states/eV/atom
Total magnetic moment = 0.0 μB per formula unit
DFT formation energy = 1 kJ per mole of atoms

***

(11)
# Pr2Sm6Y5

Crystalline Pr2Sm6Y5 at its relaxed geometry (GGA-PBE, Alexandria).

Lattice parameters (Å, degrees): 11.829 20.595 3.651 90.00 90.00 90.00
Sites, in units of the cell vectors:
Pr  0.170  0.217  0.000
Pr  0.330  0.717  0.000
Pr  0.670  0.283  0.000
Pr  0.830  0.783  0.000
Sm  0.063  0.925  0.000
Sm  0.077  0.637  0.000
Sm  0.178  0.373  0.500
Sm  0.322  0.873  0.500
Sm  0.423  0.137  0.000
Sm  0.437  0.425  0.000
Sm  0.563  0.575  0.000
Sm  0.577  0.863  0.000
Sm  0.678  0.127  0.500
Sm  0.822  0.627  0.500
Sm  0.923  0.363  0.000
Sm  0.937  0.075  0.000
Y  0.000  0.500  0.500
Y  0.091  0.780  0.500
Y  0.199  0.057  0.500
Y  0.301  0.557  0.500
Y  0.409  0.280  0.500
Y  0.500  0.000  0.500
Y  0.591  0.720  0.500
Y  0.699  0.443  0.500
Y  0.801  0.943  0.500
Y  0.909  0.220  0.500

Density of states at the Fermi level = 1.234 states/eV/atom
Total magnetic moment = 0.0 μB per formula unit
DFT formation energy = 9 kJ per mole of atoms

***

(12)
# TbSm4DyTm2

Crystalline TbSm4DyTm2 at its relaxed geometry (GGA-PBE, Alexandria).

Lattice parameters (Å, degrees): 6.192 3.579 11.796 90.00 100.13 90.00
Sites, in units of the cell vectors:
Tb  0.000  0.000  0.000
Sm  0.250  0.500  0.251
Sm  0.251  0.000  0.751
Sm  0.749  0.000  0.249
Sm  0.750  0.500  0.749
Dy  0.000  0.500  0.500
Tm  0.500  0.000  0.500
Tm  0.500  0.500  0.000

Density of states at the Fermi level = 1.322 states/eV/atom
Total magnetic moment = 0.0 μB per formula unit
DFT formation energy = 2 kJ per mole of atoms